# Y3Zn3Co2

An optimized crystal structure of Y3Zn3Co2 (PBE-GGA, Alexandria via LeMat-Bulk).

Output
E_tot = -4.9691 eV/atom

Unit cell a=7.296 b=15.473 c=5.487 alpha=90.00 beta=90.00 gamma=90.00
Fractional positions:
Y (0.035, 0.107, 0.114)
Y (0.035, 0.393, 0.114)
Y (0.167, 0.250, 0.640)
Y (0.333, 0.750, 0.140)
Y (0.465, 0.607, 0.614)
Y (0.465, 0.893, 0.614)
Y (0.535, 0.107, 0.386)
Y (0.535, 0.393, 0.386)
Y (0.667, 0.250, 0.860)
Y (0.833, 0.750, 0.360)
Y (0.965, 0.607, 0.886)
Y (0.965, 0.893, 0.886)
Zn (0.168, 0.034, 0.601)
Zn (0.168, 0.466, 0.601)
Zn (0.177, 0.750, 0.625)
Zn (0.323, 0.250, 0.125)
Zn (0.332, 0.534, 0.101)
Zn (0.332, 0.966, 0.101)
Zn (0.668, 0.034, 0.899)
Zn (0.668, 0.466, 0.899)
Zn (0.677, 0.750, 0.875)
Zn (0.823, 0.250, 0.375)
Zn (0.832, 0.534, 0.399)
Zn (0.832, 0.966, 0.399)
Co (0.127, 0.612, 0.379)
Co (0.127, 0.888, 0.379)
Co (0.373, 0.112, 0.879)
Co (0.373, 0.388, 0.879)
Co (0.627, 0.612, 0.121)
Co (0.627, 0.888, 0.121)
Co (0.873, 0.112, 0.621)
Co (0.873, 0.388, 0.621)

# YZn2Co

An optimized crystal structure of YZn2Co (PBE-GGA, Alexandria via LeMat-Bulk).

Output
E_tot = -3.9263 eV/atom

Unit cell a=9.573 b=9.573 c=9.573 alpha=155.38 beta=155.38 gamma=35.09
Fractional positions:
Y (0.000, 0.000, 0.000)
Y (0.750, 0.250, 0.500)
Zn (0.226, 0.625, 0.101)
Zn (0.375, 0.476, 0.601)
Zn (0.524, 0.125, 0.899)
Zn (0.875, 0.774, 0.399)
Co (0.250, 0.750, 0.500)
Co (0.500, 0.500, 0.000)

# Y2Zn15Co2

An optimized crystal structure of Y2Zn15Co2 (PBE-GGA, Alexandria via LeMat-Bulk).

Output
E_tot = -2.6174 eV/atom

Unit cell a=6.720 b=6.720 c=6.720 alpha=82.66 beta=82.66 gamma=82.66
Fractional positions:
Y (0.167, 0.167, 0.167)
Y (0.833, 0.833, 0.833)
Zn (0.000, 0.500, 0.500)
Zn (0.150, 0.150, 0.651)
Zn (0.150, 0.651, 0.150)
Zn (0.214, 0.500, 0.786)
Zn (0.214, 0.786, 0.500)
Zn (0.349, 0.850, 0.850)
Zn (0.500, 0.000, 0.500)
Zn (0.500, 0.214, 0.786)
Zn (0.500, 0.500, 0.000)
Zn (0.500, 0.786, 0.214)
Zn (0.651, 0.150, 0.150)
Zn (0.786, 0.214, 0.500)
Zn (0.786, 0.500, 0.214)
Zn (0.850, 0.349, 0.850)
Zn (0.850, 0.850, 0.349)
Co (0.407, 0.407, 0.407)
Co (0.593, 0.593, 0.593)

# YZn2Co

An optimized crystal structure of YZn2Co (PBE-GGA, Alexandria via LeMat-Bulk).

Output
E_tot = -4.0866 eV/atom

Unit cell a=4.581 b=4.581 c=4.581 alpha=60.00 beta=60.00 gamma=60.00
Fractional positions:
Y (0.000, 0.000, 0.000)
Zn (0.250, 0.250, 0.250)
Zn (0.500, 0.500, 0.500)
Co (0.750, 0.750, 0.750)

# YZnCo2

An optimized crystal structure of YZnCo2 (PBE-GGA, Alexandria via LeMat-Bulk).

Output
E_tot = -5.4834 eV/atom

Unit cell a=3.828 b=3.807 c=5.033 alpha=90.00 beta=112.28 gamma=90.00
Fractional positions:
Y (0.000, 0.000, 0.000)
Zn (0.297, 0.500, 0.596)
Co (0.600, 0.500, 0.200)
Co (0.714, 0.000, 0.430)

# Y4ZnCo

An optimized crystal structure of Y4ZnCo (PBE-GGA, Alexandria via LeMat-Bulk).

Output
distance to the lowest polymorph of the same formula = 0.88 eV/f.u.

Unit cell a=5.267 b=4.555 c=6.930 alpha=90.00 beta=100.74 gamma=90.00
Fractional positions:
Y (0.000, 0.000, 0.000)
Y (0.138, 0.000, 0.543)
Y (0.499, 0.500, 0.002)
Y (0.640, 0.500, 0.545)
Zn (0.069, 0.500, 0.272)
Co (0.568, 0.000, 0.773)

# Y2ZnCo

An optimized crystal structure of Y2ZnCo (PBE-GGA, Alexandria via LeMat-Bulk).

Output
E_tot = -5.4064 eV/atom

Unit cell a=7.833 b=7.833 c=7.833 alpha=28.07 beta=28.07 gamma=28.07
Fractional positions:
Y (0.236, 0.236, 0.236)
Y (0.764, 0.764, 0.764)
Zn (0.000, 0.000, 0.000)
Co (0.500, 0.500, 0.500)

# Y2Zn3Co2

An optimized crystal structure of Y2Zn3Co2 (PBE-GGA, Alexandria via LeMat-Bulk).

Output
E_tot = -4.6753 eV/atom

Unit cell a=5.287 b=5.287 c=6.294 alpha=103.33 beta=103.33 gamma=46.70
Fractional positions:
Y (0.121, 0.121, 0.347)
Y (0.879, 0.879, 0.653)
Zn (0.202, 0.202, 0.873)
Zn (0.500, 0.500, 0.000)
Zn (0.798, 0.798, 0.127)
Co (0.418, 0.418, 0.338)
Co (0.582, 0.582, 0.662)

# Y2ZnCo

An optimized crystal structure of Y2ZnCo (PBE-GGA, Alexandria via LeMat-Bulk).

Output
E_tot = -5.3768 eV/atom

Unit cell a=3.381 b=3.381 c=7.610 alpha=90.00 beta=90.00 gamma=90.00
Fractional positions:
Y (0.000, 0.000, 0.000)
Y (0.500, 0.500, 0.385)
Zn (0.000, 0.000, 0.627)
Co (0.500, 0.500, 0.764)

# Y2ZnCo

An optimized crystal structure of Y2ZnCo (PBE-GGA, Alexandria via LeMat-Bulk).

Output
E_tot = -5.5776 eV/atom

Unit cell a=3.411 b=3.445 c=7.152 alpha=90.00 beta=90.00 gamma=90.00
Fractional positions:
Y (0.000, 0.000, 0.229)
Y (0.000, 0.000, 0.771)
Zn (0.500, 0.500, 0.500)
Co (0.500, 0.500, 0.000)

# Y11Zn9Co4

An optimized crystal structure of Y11Zn9Co4 (PBE-GGA, Alexandria via LeMat-Bulk).

Output
E_tot = -4.9299 eV/atom

Unit cell a=12.288 b=12.288 c=3.624 alpha=90.00 beta=90.00 gamma=112.46
Fractional positions:
Y (0.000, 0.000, 0.000)
Y (0.082, 0.416, 0.000)
Y (0.169, 0.831, 0.000)
Y (0.295, 0.295, 0.000)
Y (0.369, 0.631, 0.000)
Y (0.416, 0.082, 0.000)
Y (0.584, 0.918, 0.000)
Y (0.631, 0.369, 0.000)
Y (0.705, 0.705, 0.000)
Y (0.831, 0.169, 0.000)
Y (0.918, 0.584, 0.000)
Zn (0.069, 0.215, 0.500)
Zn (0.161, 0.630, 0.500)
Zn (0.215, 0.069, 0.500)
Zn (0.370, 0.839, 0.500)
Zn (0.500, 0.500, 0.500)
Zn (0.630, 0.161, 0.500)
Zn (0.785, 0.931, 0.500)
Zn (0.839, 0.370, 0.500)
Zn (0.931, 0.785, 0.500)
Co (0.261, 0.451, 0.500)
Co (0.451, 0.261, 0.500)
Co (0.549, 0.739, 0.500)
Co (0.739, 0.549, 0.500)

# YZnCo3

An optimized crystal structure of YZnCo3 (PBE-GGA, Alexandria via LeMat-Bulk).

Output
distance to the lowest polymorph of the same formula = 0.00 eV/f.u.

Unit cell a=4.401 b=4.401 c=4.401 alpha=90.00 beta=90.00 gamma=90.00
Fractional positions:
Y (0.000, 0.000, 0.000)
Zn (0.500, 0.500, 0.500)
Co (0.000, 0.500, 0.500)
Co (0.500, 0.000, 0.500)
Co (0.500, 0.500, 0.000)

# YZnCo

An optimized crystal structure of YZnCo (PBE-GGA, Alexandria via LeMat-Bulk).

Output
E_tot = -4.3640 eV/atom

Unit cell a=4.545 b=4.545 c=4.545 alpha=60.00 beta=60.00 gamma=60.00
Fractional positions:
Y (0.000, 0.000, 0.000)
Zn (0.250, 0.250, 0.250)
Co (0.750, 0.750, 0.750)

# Y2Zn2Co

An optimized crystal structure of Y2Zn2Co (PBE-GGA, Alexandria via LeMat-Bulk).

Output
distance to the lowest polymorph of the same formula = 0.00 eV/f.u.

Unit cell a=5.721 b=5.721 c=11.296 alpha=114.95 beta=114.95 gamma=38.98
Fractional positions:
Y (0.060, 0.060, 0.354)
Y (0.207, 0.207, 0.122)
Y (0.793, 0.793, 0.878)
Y (0.940, 0.940, 0.646)
Zn (0.369, 0.369, 0.418)
Zn (0.487, 0.487, 0.114)
Zn (0.513, 0.513, 0.886)
Zn (0.631, 0.631, 0.582)
Co (0.278, 0.278, 0.690)
Co (0.722, 0.722, 0.310)

# YZn2Co2

An optimized crystal structure of YZn2Co2 (PBE-GGA, Alexandria via LeMat-Bulk).

Output
distance to the lowest polymorph of the same formula = 0.00 eV/f.u.

Unit cell a=5.824 b=5.824 c=5.824 alpha=140.25 beta=140.25 gamma=57.47
Fractional positions:
Y (0.000, 0.000, 0.000)
Zn (0.250, 0.750, 0.500)
Zn (0.750, 0.250, 0.500)
Co (0.393, 0.393, 0.000)
Co (0.607, 0.607, 0.000)

# YZn2Co

An optimized crystal structure of YZn2Co (PBE-GGA, Alexandria via LeMat-Bulk).

Output
E_tot = -4.3057 eV/atom

Unit cell a=14.578 b=7.206 c=5.208 alpha=90.00 beta=90.00 gamma=90.00
Fractional positions:
Y (0.103, 0.250, 0.240)
Y (0.139, 0.750, 0.455)
Y (0.361, 0.250, 0.955)
Y (0.397, 0.750, 0.740)
Y (0.603, 0.250, 0.260)
Y (0.639, 0.750, 0.045)
Y (0.861, 0.250, 0.545)
Y (0.897, 0.750, 0.760)
Zn (0.041, 0.059, 0.756)
Zn (0.041, 0.441, 0.756)
Zn (0.211, 0.551, 0.939)
Zn (0.211, 0.949, 0.939)
Zn (0.289, 0.051, 0.439)
Zn (0.289, 0.449, 0.439)
Zn (0.459, 0.559, 0.256)
Zn (0.459, 0.941, 0.256)
Zn (0.541, 0.059, 0.744)
Zn (0.541, 0.441, 0.744)
Zn (0.711, 0.551, 0.561)
Zn (0.711, 0.949, 0.561)
Zn (0.789, 0.051, 0.061)
Zn (0.789, 0.449, 0.061)
Zn (0.959, 0.559, 0.244)
Zn (0.959, 0.941, 0.244)
Co (0.071, 0.750, 0.981)
Co (0.189, 0.250, 0.706)
Co (0.311, 0.750, 0.206)
Co (0.429, 0.250, 0.481)
Co (0.571, 0.750, 0.519)
Co (0.689, 0.250, 0.794)
Co (0.811, 0.750, 0.294)
Co (0.929, 0.250, 0.019)

# YZn2Co

An optimized crystal structure of YZn2Co (PBE-GGA, Alexandria via LeMat-Bulk).

Output
E_tot = -4.1089 eV/atom

Unit cell a=3.233 b=3.233 c=6.501 alpha=90.00 beta=90.00 gamma=90.00
Fractional positions:
Y (0.000, 0.000, 0.000)
Zn (0.500, 0.500, 0.310)
Zn (0.500, 0.500, 0.690)
Co (0.000, 0.000, 0.500)

# YZnCo2

An optimized crystal structure of YZnCo2 (PBE-GGA, Alexandria via LeMat-Bulk).

Output
E_tot = -5.4230 eV/atom

Unit cell a=5.289 b=4.716 c=11.643 alpha=90.00 beta=90.00 gamma=90.00
Fractional positions:
Y (0.250, 0.000, 0.094)
Y (0.250, 0.500, 0.389)
Y (0.750, 0.000, 0.906)
Y (0.750, 0.500, 0.611)
Zn (0.250, 0.000, 0.809)
Zn (0.250, 0.500, 0.821)
Zn (0.750, 0.000, 0.191)
Zn (0.750, 0.500, 0.179)
Co (0.000, 0.000, 0.500)
Co (0.000, 0.500, 0.000)
Co (0.250, 0.259, 0.629)
Co (0.250, 0.741, 0.629)
Co (0.500, 0.000, 0.500)
Co (0.500, 0.500, 0.000)
Co (0.750, 0.259, 0.371)
Co (0.750, 0.741, 0.371)

# Y2ZnCo

An optimized crystal structure of Y2ZnCo (PBE-GGA, Alexandria via LeMat-Bulk).

Output
E_tot = -5.4340 eV/atom

Unit cell a=6.104 b=6.104 c=6.104 alpha=148.25 beta=134.57 gamma=56.49
Fractional positions:
Y (0.000, 0.000, 0.000)
Y (0.707, 0.207, 0.500)
Zn (0.306, 0.806, 0.500)
Co (0.484, 0.484, 0.000)

# Y7Zn2Co2

An optimized crystal structure of Y7Zn2Co2 (PBE-GGA, Alexandria via LeMat-Bulk).

Output
E_tot = -5.7331 eV/atom

Unit cell a=6.634 b=6.634 c=6.924 alpha=90.00 beta=90.00 gamma=110.63
Fractional positions:
Y (0.000, 0.000, 0.000)
Y (0.000, 0.500, 0.253)
Y (0.000, 0.500, 0.747)
Y (0.500, 0.000, 0.253)
Y (0.500, 0.000, 0.747)
Y (0.500, 0.500, 0.245)
Y (0.500, 0.500, 0.755)
Zn (0.168, 0.168, 0.500)
Zn (0.832, 0.832, 0.500)
Co (0.295, 0.705, 0.000)
Co (0.705, 0.295, 0.000)